# 1
First-principles (PBE) data for a relaxed La4Ho3Sc2 crystal, as listed in Alexandria.

Geometry as POSCAR:
```
La4Ho3Sc2
1.0
3.619 0.000 0.000
-1.810 6.274 1.390
0.000 3.724 13.838
La Ho Sc
4 3 2
Direct
0.652 0.303 0.126
0.110 0.220 0.613
0.890 0.780 0.387
0.348 0.697 0.874
0.378 0.756 0.614
0.000 0.000 0.000
0.622 0.244 0.386
0.336 0.672 0.208
0.664 0.328 0.792
```

Calculated values
Energy relative to the elements: 0.093 eV per atom
Volume: 295.50 Å³/cell
Symmetry: C2/m, No. 12
Total DFT energy (no corrections): -5.03 eV per atom
D(E_F): 1.6971 states/eV/atom

***

# 2
First-principles (PBE) data for a relaxed Be2ReIr crystal, as listed in Alexandria.

Geometry as POSCAR:
```
Be2ReIr
1.0
-1.816 -1.940 -0.132
1.125 0.393 2.379
-5.646 5.162 1.816
Re Ir Be
1 1 2
Direct
0.500 0.500 0.770
0.000 0.000 0.472
0.000 0.000 0.017
0.500 0.500 0.241
```

Calculated values
Energy relative to the elements: 0.233 eV per atom
Volume: 49.98 Å³/cell
Symmetry: Cmm2, No. 35
Total DFT energy (no corrections): -6.96 eV per atom
D(E_F): 0.6936 states/eV/atom

***

# 3
First-principles (PBE) data for a relaxed YOsCl3 crystal, as listed in Alexandria.

Geometry as POSCAR:
```
YOsCl3
1.0
-2.032 -3.814 -2.031
-0.259 -2.133 4.264
-4.313 1.925 0.701
Y Os Cl
1 1 3
Direct
0.500 0.500 0.500
0.000 0.000 0.000
0.000 0.500 0.000
0.000 0.000 0.500
0.500 0.000 0.000
```

Calculated values
Volume: 108.87 Å³/cell
Symmetry: Pm-3m, No. 221
Total DFT energy (no corrections): -4.58 eV per atom
D(E_F): 0.6538 states/eV/atom

***

# 4
First-principles (PBE) data for a relaxed TaNbVW crystal, as listed in Alexandria.

Geometry as POSCAR:
```
TaNbVW
1.0
3.223 0.000 0.000
0.000 4.517 0.000
0.000 0.000 4.554
Ta Nb V W
1 1 1 1
Direct
0.500 0.000 0.804
0.500 0.500 0.304
0.000 0.000 0.304
0.000 0.500 0.804
```

Calculated values
Energy relative to the elements: -0.021 eV per atom
Volume: 66.31 Å³/cell
Symmetry: Pmmm, No. 47
Total DFT energy (no corrections): -11.02 eV per atom
D(E_F): 1.4124 states/eV/atom

***

# 5
First-principles (PBE) data for a relaxed AgAsAu crystal, as listed in Alexandria.

Geometry as POSCAR:
```
AgAsAu
1.0
-2.783 -0.161 -3.462
0.365 -3.264 -2.994
-3.100 -3.178 -0.213
As Au Ag
1 1 1
Direct
0.750 0.750 0.750
0.000 0.000 0.000
0.500 0.500 0.500
```

Calculated values
Energy relative to the elements: 0.123 eV per atom
Volume: 62.09 Å³/cell
Symmetry: F-43m, No. 216
Total DFT energy (no corrections): -3.47 eV per atom
D(E_F): 0.3394 states/eV/atom

***

# 6
First-principles (PBE) data for a relaxed Hf2AlPt9 crystal, as listed in Alexandria.

Geometry as POSCAR:
```
Hf2AlPt9
1.0
4.003 0.000 0.000
0.000 4.003 0.000
0.000 0.000 11.942
Hf Al Pt
2 1 9
Direct
0.000 0.000 0.328
0.000 0.000 0.672
0.000 0.000 0.000
0.500 0.500 0.000
0.500 0.500 0.331
0.500 0.500 0.669
0.500 0.000 0.162
0.500 0.000 0.500
0.500 0.000 0.838
0.000 0.500 0.162
0.000 0.500 0.500
0.000 0.500 0.838
```

Calculated values
Energy relative to the elements: -0.991 eV per atom
Volume: 191.32 Å³/cell
Symmetry: P4/mmm, No. 123
Total DFT energy (no corrections): -7.49 eV per atom
D(E_F): 0.4056 states/eV/atom

***

# 7
First-principles (PBE) data for a relaxed LaPbS3 crystal, as listed in Alexandria.

Geometry as POSCAR:
```
LaPbS3
1.0
4.439 0.000 0.000
0.000 7.998 0.360
-2.219 -0.756 8.336
La Pb S
2 2 6
Direct
0.659 0.344 0.317
0.341 0.656 0.683
0.897 0.103 0.793
0.103 0.897 0.207
0.947 0.765 0.895
0.053 0.235 0.105
0.309 0.023 0.618
0.691 0.977 0.382
0.174 0.576 0.348
0.826 0.424 0.652
```

Calculated values
Volume: 297.15 Å³/cell
Symmetry: C2/m, No. 12
Total DFT energy (no corrections): -5.30 eV per atom
D(E_F): 0.3264 states/eV/atom

***

# 8
First-principles (PBE) data for a relaxed Pr6Sm2ErTm crystal, as listed in Alexandria.

Geometry as POSCAR:
```
Pr6Sm2ErTm
1.0
-8.258 -2.914 4.321
5.104 -6.220 4.110
-0.293 8.290 3.580
Pr Sm Er Tm
12 4 2 2
Direct
0.054 0.120 0.761
0.446 0.239 0.880
0.946 0.880 0.239
0.554 0.761 0.120
0.309 0.991 0.431
0.191 0.569 0.009
0.691 0.009 0.569
0.809 0.431 0.991
0.117 0.708 0.495
0.383 0.505 0.292
0.883 0.292 0.505
0.617 0.495 0.708
0.456 0.802 0.703
0.044 0.297 0.198
0.544 0.198 0.297
0.956 0.703 0.802
0.250 0.976 0.024
0.750 0.024 0.976
0.250 0.411 0.589
0.750 0.589 0.411
```

Calculated values
Energy relative to the elements: 0.115 eV per atom
Volume: 696.92 Å³/cell
Symmetry: C2/c, No. 15
Total DFT energy (no corrections): -4.60 eV per atom
D(E_F): 1.4320 states/eV/atom

***

Question: Which value of volume does entry 3 give?
Answer: 108.87 Å³/cell

***

Question: The highest volume belongs to which entry?
Answer: Pr6Sm2ErTm

***

Question: What is the D(E_F) in the fifth record?
Answer: 0.3394 states/eV/atom